Compound: Li4Cr3FeO8
Source: Alexandria
Functional: GGA+U
Structure: relaxed

abc: 5.1232 5.8970 10.2149
angles: 90.06 99.55 106.70
Positions (direct):
Li: 0.0000 0.0000 0.0000
Li: 0.0000 0.0000 0.5000
Li: 0.0005 0.2489 0.2529
Li: 0.0000 0.5000 0.0000
Li: 0.0000 0.5000 0.5000
Li: 0.9995 0.7511 0.7471
Li: 0.0034 0.7524 0.2496
Li: 0.9966 0.2476 0.7504
Cr: 0.4999 0.1239 0.8735
Cr: 0.4998 0.3734 0.6234
Cr: 0.5003 0.3745 0.1266
Cr: 0.4997 0.6255 0.8734
Cr: 0.5002 0.6266 0.3766
Cr: 0.5001 0.8761 0.1265
Fe: 0.5003 0.1247 0.3763
Fe: 0.4997 0.8753 0.6237
O: 0.2740 0.3181 0.9393
O: 0.2738 0.5691 0.1906
O: 0.2737 0.8186 0.9395
O: 0.2762 0.0654 0.6876
O: 0.2762 0.0692 0.1932
O: 0.2762 0.3160 0.4385
O: 0.2756 0.5716 0.6871
O: 0.2787 0.8238 0.4414
O: 0.7213 0.1762 0.5586
O: 0.7244 0.4284 0.3129
O: 0.7238 0.6840 0.5615
O: 0.7238 0.9308 0.8068
O: 0.7238 0.9346 0.3124
O: 0.7263 0.1814 0.0605
O: 0.7262 0.4309 0.8094
O: 0.7260 0.6819 0.0607

Properties
final energy	-105.8	eV per formula unit
volume	9.097	Å³ per atom
size of the total moment	10.00	μB per formula unit
SG	No. 2